The following is a PBE calculation of EuGa2Ge after structural relaxation, from the Alexandria database.

Cell: 4.319 4.319 4.483 Å, 90.00 90.00 90.00°
Atoms (fractional coordinates):
Eu: 0.000 0.000 0.000
Ga: 0.000 0.500 0.500
Ga: 0.500 0.000 0.500
Ge: 0.500 0.500 0.000

SG = P4/mmm (123)
crystal system = tetragonal
formation energy from the elements = -388 meV per atom
energy above the lowest structure with this stoichiometry = 0 meV/atom



The following is a PBE calculation of EuGaGe after structural relaxation, from the Alexandria database.

Cell: 4.801 4.801 4.801 Å, 60.00 60.00 60.00°
Atoms (fractional coordinates):
Eu: 0.000 0.000 0.000
Ga: 0.500 0.500 0.500
Ge: 0.750 0.750 0.750

SG = F-43m (216)
crystal system = cubic
formation energy from the elements = -317 meV per atom